Density functional theory data (GGA-PBE) for BaCa2CrSb after structural relaxation.

Cell: 5.931 5.931 4.945 Å, 90.00 90.00 90.00°
Positions (direct):
Ba: 0.000 0.000 0.000
Ca: 0.000 0.500 0.000
Ca: 0.500 0.000 0.000
Cr: 0.000 0.000 0.500
Sb: 0.500 0.500 0.500

Properties
- E_form (uncorrected) (eV/f.u.) = 5.9
- size of the total moment (μB/atom) = 0.385
- Fermi-level density of states (states/eV/cell) = 4.45
- DFT total energy (eV/atom) = -2.759
- density (g cm⁻³) = 3.7

***

Density functional theory data (GGA-PBE) for CsBaCa4 after structural relaxation.

Cell: 7.729 7.729 7.729 Å, 60.00 60.00 60.00°
Positions (direct):
Cs: 0.000 0.000 0.000
Ba: 0.750 0.750 0.750
Ca: 0.376 0.376 0.376
Ca: 0.376 0.376 0.872
Ca: 0.376 0.872 0.376
Ca: 0.872 0.376 0.376

Properties
- calculated formation energy (meV/atom) = 128.0
- size of the total moment (μB/atom) = 0.000
- Fermi-level density of states (states/eV/cell) = 6.53
- DFT total energy (eV/atom) = -1.669
- density (g cm⁻³) = 2.2

***

Density functional theory data (GGA-PBE) for Cs2BaCa2 after structural relaxation.

Cell: 12.177 12.177 4.620 Å, 90.00 90.00 90.00°
Positions (direct):
Cs: 0.179 0.321 0.000
Cs: 0.321 0.821 0.000
Cs: 0.679 0.179 0.000
Cs: 0.821 0.679 0.000
Ba: 0.000 0.000 0.500
Ba: 0.500 0.500 0.500
Ca: 0.115 0.615 0.500
Ca: 0.385 0.115 0.500
Ca: 0.615 0.885 0.500
Ca: 0.885 0.385 0.500

Properties
- calculated formation energy (meV/atom) = 324.7
- size of the total moment (μB/atom) = 0.000
- Fermi-level density of states (states/eV/cell) = 18.47
- DFT total energy (eV/atom) = -1.202
- density (g cm⁻³) = 2.3

***

Density functional theory data (GGA-PBE) for CsBa2Ca after structural relaxation.

Cell: 4.449 4.449 45.426 Å, 90.00 90.00 120.00°
Positions (direct):
Cs: 0.000 0.000 0.000
Cs: 0.333 0.667 0.667
Cs: 0.667 0.333 0.333
Ba: 0.000 0.000 0.573
Ba: 0.000 0.000 0.760
Ba: 0.333 0.667 0.239
Ba: 0.333 0.667 0.427
Ba: 0.667 0.333 0.094
Ba: 0.667 0.333 0.906
Ca: 0.000 0.000 0.167
Ca: 0.333 0.667 0.833
Ca: 0.667 0.333 0.500

Properties
- calculated formation energy (meV/atom) = 120.1
- size of the total moment (μB/atom) = 0.000
- energy relative to the lowest polymorph listed for this composition (kJ/mol of atoms) = 0.0
- Fermi-level density of states (states/eV/cell) = 19.26
- DFT total energy (eV/atom) = -1.555
- density (g cm⁻³) = 2.9